Entry 1:
This record from OQMD via LeMat-Bulk describes a relaxed structure of BaYAuO3. The functional is PBE-GGA.

Geometry as CIF:
```
data_BaYAuO3
_chemical_formula_sum 'Ba2 Y2 Au2 O6'
_space_group_name_H-M_alt 'P 1'
_space_group_IT_number 1
_space_group_name_Hall 'P 1'
_cell_length_a 7.0673
_cell_length_b 7.0673
_cell_length_c 8.7220
_cell_angle_alpha 90.00
_cell_angle_beta 90.00
_cell_angle_gamma 30.49
loop_
_atom_site_label
_atom_site_type_symbol
_atom_site_fract_x
_atom_site_fract_y
_atom_site_fract_z
_atom_site_occupancy
O1 O 0.0571 0.0571 0.2500 1
O2 O 0.3930 0.3930 0.4814 1
O3 O 0.6070 0.6070 0.9814 1
O4 O 0.6070 0.6070 0.5186 1
O5 O 0.3930 0.3930 0.0186 1
O6 O 0.9429 0.9429 0.7500 1
Ba1 Ba 0.6854 0.6854 0.2500 1
Ba2 Ba 0.3146 0.3146 0.7500 1
Au1 Au 0.3871 0.3871 0.2500 1
Au2 Au 0.6129 0.6129 0.7500 1
Y1 Y 0.0000 0.0000 0.5000 1
Y2 Y 0.0000 0.0000 0.0000 1
```

Calculated values
- Symmetry: Cmcm, No. 63

---

Entry 2:
This record from OQMD via LeMat-Bulk describes a relaxed structure of BaOs2Au. The functional is PBE-GGA.

Geometry as CIF:
```
data_BaOs2Au
_chemical_formula_sum 'Ba1 Os2 Au1'
_space_group_name_H-M_alt 'P 1'
_space_group_IT_number 1
_space_group_name_Hall 'P 1'
_cell_length_a 4.8556
_cell_length_b 4.8556
_cell_length_c 4.8556
_cell_angle_alpha 60.00
_cell_angle_beta 60.00
_cell_angle_gamma 60.00
loop_
_atom_site_label
_atom_site_type_symbol
_atom_site_fract_x
_atom_site_fract_y
_atom_site_fract_z
_atom_site_occupancy
Au1 Au 0.2500 0.2500 0.2500 1
Os1 Os 0.7500 0.7500 0.7500 1
Os2 Os 0.0000 0.0000 0.0000 1
Ba1 Ba 0.5000 0.5000 0.5000 1
```

Calculated values
- Symmetry: F-43m, No. 216

---

Entry 3:
This record from OQMD via LeMat-Bulk describes a relaxed structure of Ba2OsAu. The functional is PBE-GGA.

Geometry as CIF:
```
data_Ba2OsAu
_chemical_formula_sum 'Ba2 Os1 Au1'
_space_group_name_H-M_alt 'P 1'
_space_group_IT_number 1
_space_group_name_Hall 'P 1'
_cell_length_a 5.2869
_cell_length_b 5.2869
_cell_length_c 5.2869
_cell_angle_alpha 60.00
_cell_angle_beta 60.00
_cell_angle_gamma 60.00
loop_
_atom_site_label
_atom_site_type_symbol
_atom_site_fract_x
_atom_site_fract_y
_atom_site_fract_z
_atom_site_occupancy
Os1 Os 0.7500 0.7500 0.7500 1
Ba1 Ba 0.0000 0.0000 0.0000 1
Ba2 Ba 0.2500 0.2500 0.2500 1
Au1 Au 0.5000 0.5000 0.5000 1
```

Calculated values
- Symmetry: F-43m, No. 216

---

Entry 4:
This record from OQMD via LeMat-Bulk describes a relaxed structure of Ba2OsAuS6. The functional is PBE-GGA.

Geometry as CIF:
```
data_Ba2OsAuS6
_chemical_formula_sum 'Ba2 Os1 Au1 S6'
_space_group_name_H-M_alt 'P 1'
_space_group_IT_number 1
_space_group_name_Hall 'P 1'
_cell_length_a 6.9204
_cell_length_b 6.9204
_cell_length_c 6.9204
_cell_angle_alpha 120.00
_cell_angle_beta 120.00
_cell_angle_gamma 60.00
loop_
_atom_site_label
_atom_site_type_symbol
_atom_site_fract_x
_atom_site_fract_y
_atom_site_fract_z
_atom_site_occupancy
Au1 Au 0.5000 0.5000 0.5000 1
Ba1 Ba 0.2500 0.2500 0.7500 1
Ba2 Ba 0.7500 0.7500 0.2500 1
S1 S 0.7577 0.2423 0.2423 1
S2 S 0.7577 0.7577 0.7577 1
S3 S 0.2423 0.7577 0.7577 1
S4 S 0.2423 0.2423 0.2423 1
S5 S 0.7577 0.2423 0.7577 1
S6 S 0.2423 0.7577 0.2423 1
Os1 Os 0.0000 0.0000 0.0000 1
```

Calculated values
- Symmetry: Fm-3m, No. 225

---

no.,raw total energy (eV per atom)
1,-6.69
2,-5.61
3,-3.97
4,-4.91